#P
Material: HfCu2Pt2
Method: DFT, PBE
State: relaxed

Properties
crystal system: monoclinic
symmetry: No. 12
Fermi-level density of states: 2.8 states/eV/cell

Unit cell a=4.7708 b=4.7708 c=6.1801 alpha=129.08 beta=129.08 gamma=48.37
With the nearest neighbours (Å) after each atom.
Fractional coordinates of all 5 atoms:
Hf1 0.0000 0.0000 0.0000  6 Pt 2.73-2.84, 6 Cu 2.78-2.84
Cu1 0.1910 0.1910 0.5907  3 Cu 2.68-2.78, 6 Pt 2.72-2.85, 3 Hf 2.78-2.84
Cu2 0.8090 0.8090 0.4093  3 Cu 2.68-2.78, 6 Pt 2.72-2.85, 3 Hf 2.78-2.84
Pt1 0.4104 0.4104 0.2081  6 Cu 2.72-2.85, 3 Hf 2.73-2.84, 3 Pt 2.77-2.88
Pt2 0.5896 0.5896 0.7919  6 Cu 2.72-2.85, 3 Hf 2.73-2.84, 3 Pt 2.77-2.88


#Q
Material: HfCu2Pt2
Method: DFT, PBE
State: relaxed

Properties
crystal system: monoclinic
symmetry: No. 15
Fermi-level density of states: 3.8 states/eV/cell

Unit cell a=5.2653 b=5.2653 c=7.3499 alpha=109.73 beta=109.73 gamma=53.62
With the nearest neighbours (Å) after each atom.
Fractional coordinates of all 10 atoms:
Hf1 0.1756 0.8244 0.7500  6 Pt 2.73-2.85, 6 Cu 2.76-2.85
Hf2 0.8244 0.1756 0.2500  6 Pt 2.73-2.85, 6 Cu 2.76-2.85
Cu1 0.2205 0.5560 0.0468  1 Cu 2.55, 6 Pt 2.67-2.85, 2 Hf 2.76-2.82
Cu2 0.4440 0.7795 0.4532  1 Cu 2.55, 6 Pt 2.67-2.85, 2 Hf 2.76-2.82
Cu3 0.5560 0.2205 0.5468  1 Cu 2.55, 6 Pt 2.67-2.85, 2 Hf 2.76-2.82
Cu4 0.7795 0.4440 0.9532  1 Cu 2.55, 6 Pt 2.67-2.85, 2 Hf 2.76-2.82
Pt1 0.0051 0.3643 0.6453  6 Cu 2.67-2.85, 3 Hf 2.73-2.85, 3 Pt 2.84-2.92
Pt2 0.3643 0.0051 0.1453  6 Cu 2.67-2.85, 3 Hf 2.73-2.85, 3 Pt 2.84-2.92
Pt3 0.6357 0.9949 0.8547  6 Cu 2.67-2.85, 3 Hf 2.73-2.85, 3 Pt 2.84-2.92
Pt4 0.9949 0.6357 0.3547  6 Cu 2.67-2.85, 3 Hf 2.73-2.85, 3 Pt 2.84-2.92


Relative energies, in eV/atom, with the most stable structure set to zero: #P 0.000; #Q 0.015.


#P
Material: Hf4CuPt
Method: DFT, PBE
State: relaxed

Properties
crystal system: tetragonal
symmetry: No. 123
Fermi-level density of states: 4.2 states/eV/cell

Unit cell a=3.2483 b=3.2483 c=10.9625 alpha=90.00 beta=90.00 gamma=90.00
With the nearest neighbours (Å) after each atom.
Fractional coordinates of all 6 atoms:
Hf1 0.0000 0.0000 0.1560  4 Cu 2.86, 4 Hf 3.08
Hf2 0.0000 0.0000 0.8440  4 Cu 2.86, 4 Hf 3.08
Hf3 0.5000 0.5000 0.3426  4 Pt 2.87, 4 Hf 3.08
Hf4 0.5000 0.5000 0.6574  4 Pt 2.87, 4 Hf 3.08
Cu1 0.5000 0.5000 0.0000  8 Hf 2.86
Pt1 0.0000 0.0000 0.5000  8 Hf 2.87


#Q
Material: Hf4CuPt
Method: DFT, PBE
State: relaxed

Properties
crystal system: monoclinic
symmetry: No. 12
Fermi-level density of states: 5.3 states/eV/cell

Unit cell a=7.4065 b=7.4065 c=5.4796 alpha=111.05 beta=111.05 gamma=25.18
With the nearest neighbours (Å) after each atom.
Fractional coordinates of all 6 atoms:
Hf1 0.1586 0.1586 0.4894  1 Cu 2.81, 2 Pt 2.82, 3 Hf 3.06-3.07
Hf2 0.3407 0.3407 0.0042  2 Cu 2.82, 1 Pt 2.84, 5 Hf 3.07-3.15
Hf3 0.6593 0.6593 0.9958  2 Cu 2.82, 1 Pt 2.84, 5 Hf 3.07-3.15
Hf4 0.8414 0.8414 0.5106  1 Cu 2.81, 2 Pt 2.82, 3 Hf 3.06-3.07
Cu1 0.0000 0.0000 0.0000  6 Hf 2.81-2.82
Pt1 0.5000 0.5000 0.5000  6 Hf 2.82-2.84


Relative energies, in eV/atom, with the most stable structure set to zero: #P 0.000; #Q 0.230.